! Yb2WN2O3 GGA+U optimized geometry; values from VASP
! Electronic total energy   -52.7 eV per cell
&SYSTEM
  ibrav = 0, nat = 8, ntyp = 4
/
ATOMIC_SPECIES
Yb 173.04 Yb.upf
W 183.84 W.upf
N 14.01 N.upf
O 16.00 O.upf
ATOMIC_POSITIONS angstrom
Yb 0.0000 0.0000 2.6557
Yb 0.0000 0.0000 14.1553
W 0.0000 0.0000 8.4055
N 0.0000 1.7795 1.0676
N 0.0000 1.7795 7.3379
O 1.7795 0.0000 1.3525
O 1.7795 0.0000 4.2027
O 1.7795 0.0000 7.0530
CELL_PARAMETERS angstrom
-1.7795 1.7795 8.4055
1.7795 -1.7795 8.4055
1.7795 1.7795 -8.4055